Below is a geometry-optimized YBe2Te structure, with properties calculated at the PBE level.

**Mass density**: 5.1 Mg/m³
**Energy relative to the elements, uncorrected**: 0.1249 eV per atom
**Energy above the lowest structure with this stoichiometry**: 0.1627 eV per atom
**Fermi-level density of states**: 2.5 states/eV/f.u.

a = 3.5244 Å, b = 3.5244 Å, c = 6.1912 Å
α = 90.00°, β = 90.00°, γ = 90.00°
Last column: magnetic moment on the atom in μB.
Fractional positions:
Be: 0.0000 0.0000 0.0675  0.00
Be: 0.5000 0.5000 0.2129  0.02
Te: 0.0000 0.0000 0.4576  -0.01
Y: 0.5000 0.5000 0.7619  0.19